# Mg2SbW (meta-GGA SCAN, single point on PBEsol structure)
# crystal system	tetragonal
# uncorrected formation energy	0.8719	eV/atom
# magnetization	0.00	Bohr magnetons per cell
# N(E_F)	11.688	states/eV/cell
data_Mg2SbW
_chemical_formula_sum 'Mg8 Sb4 W4'
_symmetry_space_group_name_H-M 'I -4 2 d'
_symmetry_Int_Tables_number 122
_symmetry_space_group_name_Hall 'I -4 2bw'
_cell_length_a 7.890
_cell_length_b 7.890
_cell_length_c 5.383
_cell_angle_alpha 90.00
_cell_angle_beta 90.00
_cell_angle_gamma 90.00
loop_
_atom_site_label
_atom_site_type_symbol
_atom_site_fract_x
_atom_site_fract_y
_atom_site_fract_z
Mg1 Mg 0.241 0.250 0.125
Sb1 Sb 0.000 0.000 0.500
W1 W 0.000 0.000 0.000

# Mg2SbW (meta-GGA SCAN, single point on PBEsol structure)
# crystal system	orthorhombic
# uncorrected formation energy	0.4281	eV/atom
# magnetization	0.00	Bohr magnetons per cell
# N(E_F)	5.752	states/eV/cell
data_Mg2SbW
_chemical_formula_sum 'Mg4 Sb2 W2'
_symmetry_space_group_name_H-M 'C m m m'
_symmetry_Int_Tables_number 65
_symmetry_space_group_name_Hall '-C 2 2'
_cell_length_a 5.678
_cell_length_b 9.060
_cell_length_c 2.949
_cell_angle_alpha 90.00
_cell_angle_beta 90.00
_cell_angle_gamma 90.00
loop_
_atom_site_label
_atom_site_type_symbol
_atom_site_fract_x
_atom_site_fract_y
_atom_site_fract_z
Mg1 Mg 0.250 0.250 0.000
Sb1 Sb 0.000 0.000 0.500
W1 W 0.000 0.500 0.500

# MgSbW2 (meta-GGA SCAN, single point on PBEsol structure)
# crystal system	monoclinic
# uncorrected formation energy	0.5036	eV/atom
# magnetization	0.00	Bohr magnetons per cell
# N(E_F)	4.903	states/eV/cell
data_MgSbW2
_chemical_formula_sum 'Mg2 Sb2 W4'
_symmetry_space_group_name_H-M 'C 1 m 1'
_symmetry_Int_Tables_number 8
_cell_length_a 9.610
_cell_length_b 3.402
_cell_length_c 4.681
_cell_angle_alpha 90.00
_cell_angle_beta 112.58
_cell_angle_gamma 90.00
loop_
_symmetry_equiv_pos_as_xyz
'x,y,z'
'x,-y,z'
'x+1/2,y+1/2,z'
'x+1/2,-y+1/2,z'
loop_
_atom_site_label
_atom_site_type_symbol
_atom_site_fract_x
_atom_site_fract_y
_atom_site_fract_z
Mg1 Mg 0.000 0.000 0.000
Sb1 Sb 0.268 0.500 0.285
W1 W 0.025 0.500 0.523
W2 W 0.239 0.000 0.761

# Mg2SbW (meta-GGA SCAN, single point on PBEsol structure)
# crystal system	tetragonal
# uncorrected formation energy	0.4140	eV/atom
# magnetization	0.00	Bohr magnetons per cell
# N(E_F)	3.320	states/eV/cell
data_Mg2SbW
_chemical_formula_sum 'Mg4 Sb2 W2'
_symmetry_space_group_name_H-M 'I 4/m m m'
_symmetry_Int_Tables_number 139
_symmetry_space_group_name_Hall '-I 4 2'
_cell_length_a 3.977
_cell_length_b 3.977
_cell_length_c 9.388
_cell_angle_alpha 90.00
_cell_angle_beta 90.00
_cell_angle_gamma 90.00
loop_
_atom_site_label
_atom_site_type_symbol
_atom_site_fract_x
_atom_site_fract_y
_atom_site_fract_z
Mg1 Mg 0.000 0.500 0.250
Sb1 Sb 0.000 0.000 0.000
W1 W 0.000 0.000 0.500